4
Lattice="-0.273 3.017 2.696 -0.355 -0.838 3.952 3.088 0.754 2.518" Properties=species:S:1:pos:R:3 comment="Be2RuRh | Alexandria | PBE | optimized geometry" space_group="No. 216" final_energy_ev_per_atom=-6.005 pbc="T T T"
Ru 1.845 2.199 6.874
Rh 1.230 1.466 4.583
Be 0.000 0.000 0.000
Be 0.615 0.733 2.291



12
Lattice="-4.911 -1.001 3.535 4.649 -3.341 5.513 2.072 6.645 -0.560" Properties=species:S:1:pos:R:3 comment="LiEr3Ga2 | Alexandria | PBE | optimized geometry" e_above_lowest_polymorph_mev_per_atom=123 space_group="No. 15" final_energy_ev_per_atom=-3.901 pbc="T T T"
Li -0.106 -3.238 6.722
Li -0.155 -1.104 2.327
Er -2.612 -1.605 4.095
Er 2.350 -2.737 4.953
Er 0.290 2.185 1.103
Er -0.879 1.774 4.683
Er 2.690 0.530 3.805
Er 1.521 0.119 7.385
Ga 0.058 -0.937 5.110
Ga -2.291 0.729 2.370
Ga 4.101 1.574 6.118
Ga 1.753 3.240 3.379



9
Lattice="-3.503 1.624 2.037 1.486 -3.971 1.042 10.559 7.210 12.414" Properties=species:S:1:pos:R:3 comment="Sb2Te | Alexandria | PBE | optimized geometry" e_above_lowest_polymorph_mev_per_atom=0 space_group="No. 164" final_energy_ev_per_atom=-3.861 raw_formation_energy_kj_per_mol_fu=-19 pbc="T T T"
Sb 9.214 4.307 12.414
Sb -0.672 0.557 3.078
Sb 5.797 1.973 8.397
Sb 2.745 2.890 7.096
Sb 5.158 -1.463 5.360
Sb 3.383 6.326 10.133
Te 1.997 -0.621 3.930
Te 6.544 5.484 11.563
Te 0.000 0.000 0.000



4
Lattice="3.387 0.000 0.000 0.000 3.387 0.000 0.000 0.000 6.336" Properties=species:S:1:pos:R:3 comment="Ta2HgW | Alexandria | PBE | optimized geometry" space_group="No. 99" final_energy_ev_per_atom=-8.937 pbc="T T T"
Hg 1.693 1.693 4.737
Ta 0.000 0.000 0.097
Ta 1.693 1.693 1.631
W 0.000 0.000 3.038



4
Lattice="-2.316 -2.324 -0.970 3.473 -2.421 -2.490 0.904 -2.400 3.593" Properties=species:S:1:pos:R:3 comment="HgMoAs2 | Alexandria | PBE | optimized geometry" space_group="No. 47" final_energy_ev_per_atom=-4.457 pbc="T T T"
As 0.000 0.000 0.000
As 0.578 -2.373 -1.730
Mo 2.188 -2.410 0.552
Hg -0.706 -2.362 1.312



4
Lattice="3.957 0.000 0.000 0.000 3.957 0.000 0.000 0.000 5.661" Properties=species:S:1:pos:R:3 comment="CdAu2Se | Alexandria | PBE | optimized geometry" e_above_lowest_polymorph_mev_per_atom=0 space_group="No. 99" final_energy_ev_per_atom=-2.774 raw_formation_energy_kj_per_mol_fu=-14 pbc="T T T"
Au 0.000 0.000 0.676
Au 1.978 1.978 0.744
Cd 0.000 0.000 3.477
Se 1.978 1.978 3.595



4
Lattice="3.303 0.000 0.000 1.652 2.861 0.000 1.652 0.954 12.335" Properties=species:S:1:pos:R:3 comment="PuInSb2 | Alexandria | PBE | optimized geometry" e_above_lowest_polymorph_mev_per_atom=563 space_group="No. 166" final_energy_ev_per_atom=-6.142 raw_formation_energy_kj_per_mol_fu=72 pbc="T T T"
Sb 1.652 0.954 9.179
Sb 4.955 2.861 3.155
In 3.303 1.907 6.167
Pu 0.000 0.000 0.000



12
Lattice="-2.837 -2.207 -8.587 5.007 -0.016 2.748 -2.653 -7.781 5.723" Properties=species:S:1:pos:R:3 comment="CeTm4Mg | Alexandria | PBE | optimized geometry" e_above_lowest_polymorph_mev_per_atom=151 space_group="No. 15" final_energy_ev_per_atom=-4.064 pbc="T T T"
Ce -2.526 -3.917 -5.727
Ce 2.044 -6.088 5.611
Tm -1.444 -3.768 0.673
Tm 3.643 -0.724 2.276
Tm 0.812 -5.177 2.488
Tm -0.179 -8.195 3.259
Tm 0.962 -6.237 -0.789
Tm -1.295 -4.827 -2.605
Tm -4.126 -9.280 -2.392
Tm -0.304 -1.810 -3.375
Mg 1.432 -2.613 -0.126
Mg -1.915 -7.392 0.009



4
Lattice="3.484 0.000 0.000 1.742 3.017 0.000 1.742 1.006 9.527" Properties=species:S:1:pos:R:3 comment="ThSc2Au | Alexandria | PBE | optimized geometry" e_above_lowest_polymorph_mev_per_atom=181 space_group="No. 166" final_energy_ev_per_atom=-6.063 pbc="T T T"
Sc 1.742 1.006 2.022
Sc 5.226 3.017 7.505
Au 0.000 0.000 0.000
Th 3.484 2.011 4.764



3
Lattice="5.088 0.000 0.000 2.544 4.406 0.000 2.544 1.469 4.154" Properties=species:S:1:pos:R:3 comment="TbPrAu | Alexandria | PBE | optimized geometry" e_above_lowest_polymorph_mev_per_atom=172 space_group="No. 216" final_energy_ev_per_atom=-4.610 pbc="T T T"
Pr 5.088 2.937 2.077
Tb 0.000 0.000 0.000
Au 2.544 1.469 1.039



4
Lattice="-2.333 2.410 -0.366 -2.248 -1.931 1.615 2.246 3.235 6.994" Properties=species:S:1:pos:R:3 comment="CdGa2Sb | Alexandria | PBE | optimized geometry" e_above_lowest_polymorph_mev_per_atom=3 space_group="No. 123" final_energy_ev_per_atom=-2.700 raw_formation_energy_kj_per_mol_fu=28 pbc="T T T"
Sb -1.167 1.858 4.122
Ga 1.699 2.447 5.290
Ga 0.547 0.788 1.704
Cd -2.290 0.240 0.625



12
Lattice="-1.049 -4.582 5.410 -1.650 -1.906 -6.709 7.160 -0.271 -0.415" Properties=species:S:1:pos:R:3 comment="PrSm3Tm2Se6 | Alexandria | PBE | optimized geometry" space_group="No. 12" final_energy_ev_per_atom=-5.837 raw_formation_energy_kj_per_mol_fu=-2051 pbc="T T T"
Pr 0.000 0.000 0.000
Sm 2.024 -2.460 -5.020
Sm 2.437 -4.299 3.307
Sm 2.230 -3.379 -0.857
Tm -1.449 -2.800 -2.659
Tm -1.250 -3.687 1.360
Se 3.499 -5.501 0.837
Se -0.277 -4.805 -1.047
Se 0.961 -1.258 -2.550
Se 3.290 -4.566 -3.396
Se 4.737 -1.954 -0.666
Se 1.171 -2.193 1.682



| no. | DOS at the Fermi energy (states/eV/atom) |
| --- | --- |
| 1 | 0.98 |
| 2 | 0.82 |
| 3 | 0.09 |
| 4 | 0.63 |
| 5 | 0.80 |
| 6 | 0.30 |
| 7 | 2.02 |
| 8 | 1.83 |
| 9 | 1.60 |
| 10 | 1.52 |
| 11 | 0.21 |
| 12 | 0.43 |